Entry 1:
HfUIr6 | PBE | optimized geometry

Output
magnetization: 0.00 μB/cell
raw total energy: -10.0514 eV per atom
space group: P4/mmm, No. 123
calculated volume: 16.1 Å³/atom

```
8
Lattice="4.008 0.000 0.000 0.000 5.665 -0.036 0.000 0.036 5.665" Properties=species:S:1:pos:R:3 pbc="T T T"
Ir 0.000 1.415 1.397
Ir 0.000 4.287 4.232
Ir 2.004 2.833 -0.018
Ir 0.000 4.268 1.379
Ir 0.000 1.433 4.251
Ir 2.004 0.018 2.833
Hf 2.004 2.851 2.815
U 2.004 0.000 0.000
```



Entry 2:
NbS3Br | PBE | optimized geometry

Output
offset from the most stable computed form: 632 meV per atom
E_form (uncorrected): -1.60 kcal/mol of atoms
magnetization: 0.00 μB/cell
raw total energy: -4.8942 eV per atom
space group: Pm-3m, No. 221
calculated volume: 22.4 Å³/atom

```
5
Lattice="-2.543 4.097 -0.131 -0.076 -0.202 -4.819 -4.098 -2.538 0.171" Properties=species:S:1:pos:R:3 pbc="T T T"
S -1.271 2.048 -0.066
S -2.049 -1.269 0.086
S -0.038 -0.101 -2.409
Br -3.359 0.679 -2.389
Nb 0.000 0.000 0.000
```



Entry 3:
Tb7ThSc3 | PBE | optimized geometry

Output
offset from the most stable computed form: 69 meV per atom
magnetization: 0.00 μB/cell
raw total energy: -5.1313 eV per atom
space group: P3m1, No. 156
calculated volume: 31.7 Å³/atom

```
11
Lattice="-1.649 -7.781 -2.268 2.078 -2.266 6.264 -6.681 1.721 -1.047" Properties=species:S:1:pos:R:3 pbc="T T T"
Tb -3.470 -4.333 3.470
Tb -0.152 -5.188 3.990
Tb -1.023 -1.792 3.578
Tb -1.184 -4.062 0.880
Tb -4.355 -0.918 3.026
Tb -2.089 -0.650 0.458
Tb -5.378 0.198 -0.057
Sc -3.612 -6.334 0.818
Sc -6.897 -5.487 0.303
Sc -4.634 -5.219 -2.262
Th -4.507 -3.129 0.363
```



Entry 4:
BaSi2Hg2 | PBE | optimized geometry

Output
E_form (uncorrected): -4.60 kcal/mol of atoms
magnetization: 0.00 μB/cell
raw total energy: -2.8738 eV per atom
space group: I4/mmm, No. 139
calculated volume: 24.8 Å³/atom

```
5
Lattice="4.856 0.000 0.000 0.000 4.856 0.000 2.428 2.428 5.252" Properties=species:S:1:pos:R:3 pbc="T T T"
Hg 4.856 2.428 2.626
Hg 2.428 4.856 2.626
Ba 0.000 0.000 0.000
Si 2.428 2.428 1.182
Si 4.856 4.856 4.070
```



Entry 5:
Tl7Cd5 | PBE | optimized geometry

Output
magnetization: 0.00 μB/cell
raw total energy: -1.7214 eV per atom
space group: Cm, No. 8
calculated volume: 27.8 Å³/atom

```
12
Lattice="4.753 0.000 1.149 1.954 7.174 2.323 0.134 0.130 9.848" Properties=species:S:1:pos:R:3 pbc="T T T"
Cd 3.002 0.676 8.389
Cd 5.247 3.098 9.508
Cd 4.120 1.926 3.765
Cd 4.618 4.796 12.107
Cd 2.393 2.500 10.906
Tl 3.408 3.584 6.711
Tl 1.145 1.267 5.667
Tl 3.817 6.712 5.020
Tl 1.611 4.152 3.739
Tl 4.901 0.201 10.936
Tl 2.727 5.393 9.526
Tl 5.652 6.125 7.832
```



Entry 6:
CdTe2Se | PBE | optimized geometry

Output
E_form (uncorrected): 1.63 kcal/mol of atoms
magnetization: 0.00 μB/cell
raw total energy: -2.5999 eV per atom
space group: P4/mmm, No. 123
calculated volume: 34.9 Å³/atom

```
4
Lattice="-0.341 -7.500 -3.525 3.437 0.824 -2.086 2.236 -1.546 3.074" Properties=species:S:1:pos:R:3 pbc="T T T"
Te 2.837 -0.361 0.494
Te 0.000 0.000 0.000
Cd 1.548 -3.338 -2.805
Se 0.948 -4.523 -0.226
```



Which value of magnetization does entry 3 give? 0.00 μB/cell



Copy entry 6 word for word.
CdTe2Se | PBE | optimized geometry

Output
E_form (uncorrected): 1.63 kcal/mol of atoms
magnetization: 0.00 μB/cell
raw total energy: -2.5999 eV per atom
space group: P4/mmm, No. 123
calculated volume: 34.9 Å³/atom

```
4
Lattice="-0.341 -7.500 -3.525 3.437 0.824 -2.086 2.236 -1.546 3.074" Properties=species:S:1:pos:R:3 pbc="T T T"
Te 2.837 -0.361 0.494
Te 0.000 0.000 0.000
Cd 1.548 -3.338 -2.805
Se 0.948 -4.523 -0.226
```



magnetization of number 2 (NbS3Br)? 0.00 μB/cell



Look up the calculated volume of the third one. 31.7 Å³/atom